Record 1
The following is a PBE calculation of crystalline AgSbSe3 at its relaxed geometry, from Alexandria via LeMat-Bulk.

Properties
* M_tot: 0.00 μB per atom
* formation energy from raw total energies: -0.13 eV per atom

a b c (Å): 3.980 7.771 10.417
angles (deg): 114.11 100.93 75.21
Sites, in units of the cell vectors:
1 Se 0.112 0.018 0.204
2 Se 0.576 0.743 0.856
3 Se 0.334 0.510 0.139
4 Ag 0.712 0.744 0.128
5 Sb 0.142 0.462 0.708
6 Se 0.975 0.576 0.486
7 Sb 0.546 0.299 0.351
8 Ag 0.977 0.017 0.931
9 Se 0.354 0.251 0.920
10 Se 0.714 0.185 0.573

***

Record 2
The following is a PBE calculation of crystalline Ag3SbSe at its relaxed geometry, from Alexandria via LeMat-Bulk.

Properties
* M_tot: 0.03 μB per atom
* formation energy from raw total energies: 0.43 eV per atom

a b c (Å): 5.058 5.058 5.058
angles (deg): 90.00 90.00 90.00
Sites, in units of the cell vectors:
1 Sb 0.500 0.500 0.500
2 Ag 0.000 0.000 0.500
3 Ag 0.000 0.500 0.000
4 Se 0.000 0.000 0.000
5 Ag 0.500 0.000 0.000

***

Record 3
The following is a PBE calculation of crystalline Ag2SbSe3 at its relaxed geometry, from Alexandria via LeMat-Bulk.

Properties
* M_tot: 0.00 μB per atom
* formation energy from raw total energies: -0.09 eV per atom

a b c (Å): 7.018 7.482 7.482
angles (deg): 114.83 90.00 90.00
Sites, in units of the cell vectors:
1 Se 0.440 0.180 0.514
2 Ag 0.064 0.168 0.512
3 Se 0.910 0.203 0.203
4 Ag 0.064 0.512 0.168
5 Se 0.410 0.797 0.797
6 Sb 0.540 0.178 0.178
7 Ag 0.564 0.832 0.488
8 Se 0.440 0.514 0.180
9 Ag 0.564 0.488 0.832
10 Sb 0.040 0.822 0.822
11 Se 0.940 0.486 0.820
12 Se 0.940 0.820 0.486

***

Record 4
The following is a PBE calculation of crystalline AgSbSe at its relaxed geometry, from Alexandria via LeMat-Bulk.

Properties
* M_tot: 0.00 μB per atom
* formation energy from raw total energies: 0.03 eV per atom

a b c (Å): 5.126 8.285 6.249
angles (deg): 96.37 144.59 82.45
Sites, in units of the cell vectors:
1 Sb 0.141 0.893 0.119
2 Se 0.045 0.909 0.619
3 Ag 0.407 0.651 0.628
4 Sb 0.673 0.410 0.137
5 Ag 0.407 0.151 0.628
6 Se 0.769 0.393 0.637

***

Record 5
The following is a PBE calculation of crystalline AgSbSe2 at its relaxed geometry, from Alexandria via LeMat-Bulk.

Properties
* M_tot: 0.00 μB per atom
* formation energy from raw total energies: -0.07 eV per atom

a b c (Å): 6.153 6.153 7.982
angles (deg): 67.33 67.33 90.00
Sites, in units of the cell vectors:
1 Ag 0.500 0.500 0.000
2 Sb 0.000 0.000 0.000
3 Sb 0.750 0.250 0.500
4 Se 0.137 0.625 0.250
5 Se 0.613 0.125 0.250
6 Se 0.875 0.863 0.750
7 Ag 0.250 0.750 0.500
8 Se 0.375 0.387 0.750

***

Record 6
The following is a PBE calculation of crystalline Ag2SbSe2 at its relaxed geometry, from Alexandria via LeMat-Bulk.

Properties
* M_tot: 0.00 μB per atom
* formation energy from raw total energies: -0.01 eV per atom

a b c (Å): 6.921 7.793 9.351
angles (deg): 90.00 83.92 90.00
Sites, in units of the cell vectors:
1 Sb 0.567 0.601 0.699
2 Ag 0.719 0.143 0.719
3 Ag 0.378 0.772 0.940
4 Se 0.854 0.394 0.866
5 Ag 0.878 0.728 0.940
6 Se 0.240 0.120 0.461
7 Ag 0.781 0.643 0.281
8 Ag 0.219 0.357 0.719
9 Se 0.354 0.106 0.866
10 Ag 0.622 0.228 0.060
11 Se 0.260 0.620 0.539
12 Se 0.146 0.606 0.134
13 Sb 0.933 0.101 0.301
14 Ag 0.281 0.857 0.281
15 Se 0.646 0.894 0.134
16 Ag 0.122 0.272 0.060
17 Sb 0.433 0.399 0.301
18 Se 0.760 0.880 0.539
19 Se 0.740 0.380 0.461
20 Sb 0.067 0.899 0.699